# 1
## Ca2ScRu (PBEsol)

Data for crystalline Ca2ScRu at its relaxed geometry.

a b c (Å): 4.227 4.227 4.947
angles (deg): 90.00 90.00 90.00
Space group P4/mmm (No. 123)
One atom of each set of equivalent atoms:
Ca 0.000 0.500 0.000 [2 per cell]
Sc 0.000 0.000 0.500 [1 per cell]
Ru 0.500 0.500 0.500 [1 per cell]

Summary:
Electronic total energy (eV/atom): -4.94
DOS(E_F) (states/eV/atom): 0.977
Polymorph energy (0 for the lowest one) (meV/atom): 291
Energy relative to the elements (meV/atom): 326

=====

# 2
## CaSc2TiRu (PBEsol)

Data for crystalline CaSc2TiRu at its relaxed geometry.

a b c (Å): 5.077 5.077 4.481
angles (deg): 90.00 90.00 90.00
Space group P4/mmm (No. 123)
One atom of each set of equivalent atoms:
Ca 0.000 0.000 0.000 [1 per cell]
Sc 0.000 0.500 0.500 [2 per cell]
Ti 0.500 0.500 0.500 [1 per cell]
Ru 0.500 0.500 0.000 [1 per cell]

Summary:
Electronic total energy (eV/atom): -6.33
DOS(E_F) (states/eV/atom): 1.523
Energy relative to the elements (meV/atom): 436

=====

# 3
## Ca4RuSe (PBEsol)

Data for crystalline Ca4RuSe at its relaxed geometry.

a b c (Å): 8.427 8.427 8.427
angles (deg): 90.00 90.00 90.00
Space group F-43m (No. 216)
One atom of each set of equivalent atoms:
Ca 0.124 0.124 0.124 [16 per cell]
Ru 0.250 0.250 0.750 [4 per cell]
Se 0.000 0.000 0.500 [4 per cell]

Summary:
Electronic total energy (eV/atom): -3.16
DOS(E_F) (states/eV/atom): 0.258
Uncorrected formation energy (meV per atom): 600

=====

# 4
## CaRuSe4 (PBEsol)

Data for crystalline CaRuSe4 at its relaxed geometry.

a b c (Å): 7.947 7.947 7.947
angles (deg): 90.00 90.00 90.00
Space group F-43m (No. 216)
One atom of each set of equivalent atoms:
Ca 0.000 0.000 0.000 [4 per cell]
Ru 0.250 0.250 0.250 [4 per cell]
Se 0.124 0.124 0.624 [16 per cell]

Summary:
Electronic total energy (eV/atom): -4.15
DOS(E_F) (states/eV/atom): 1.128
Uncorrected formation energy (meV per atom): 468

=====

# 5
## Ca2RuSe (PBEsol)

Data for crystalline Ca2RuSe at its relaxed geometry.

a b c (Å): 6.689 6.689 6.689
angles (deg): 90.00 90.00 90.00
Space group F-43m (No. 216)
One atom of each set of equivalent atoms:
Ca 0.000 0.000 0.000 [4 per cell]
Ca 0.250 0.250 0.250 [4 per cell]
Ru 0.250 0.250 0.750 [4 per cell]
Se 0.000 0.000 0.500 [4 per cell]

Summary:
Electronic total energy (eV/atom): -4.70
DOS(E_F) (states/eV/atom): 0.269
Uncorrected formation energy (meV per atom): -123

=====

# 6
## SrCa3Ru (PBEsol)

Data for crystalline SrCa3Ru at its relaxed geometry.

a b c (Å): 5.398 5.398 5.398
angles (deg): 90.00 90.00 90.00
Space group Pm-3m (No. 221)
One atom of each set of equivalent atoms:
Sr 0.000 0.000 0.000 [1 per cell]
Ca 0.000 0.000 0.500 [3 per cell]
Ru 0.500 0.500 0.500 [1 per cell]

Summary:
Electronic total energy (eV/atom): -1.80
DOS(E_F) (states/eV/atom): 1.430
Energy relative to the elements (meV/atom): 1887

=====

# 7
## Sr2CaRu (PBEsol)

Data for crystalline Sr2CaRu at its relaxed geometry.

a b c (Å): 7.628 7.628 7.628
angles (deg): 90.00 90.00 90.00
Space group F-43m (No. 216)
One atom of each set of equivalent atoms:
Sr 0.000 0.000 0.000 [4 per cell]
Sr 0.250 0.250 0.250 [4 per cell]
Ca 0.250 0.250 0.750 [4 per cell]
Ru 0.000 0.000 0.500 [4 per cell]

Summary:
Electronic total energy (eV/atom): -3.49
DOS(E_F) (states/eV/atom): 0.371
Polymorph energy (0 for the lowest one) (meV/atom): 153
Energy relative to the elements (meV/atom): 506

=====

# 8
## SrCa2Ru (PBEsol)

Data for crystalline SrCa2Ru at its relaxed geometry.

a b c (Å): 7.456 7.456 7.456
angles (deg): 90.00 90.00 90.00
Space group Fm-3m (No. 225)
One atom of each set of equivalent atoms:
Sr 0.000 0.000 0.000 [4 per cell]
Ca 0.250 0.250 0.250 [8 per cell]
Ru 0.000 0.000 0.500 [4 per cell]

Summary:
Electronic total energy (eV/atom): -3.64
DOS(E_F) (states/eV/atom): 0.387
Polymorph energy (0 for the lowest one) (meV/atom): 144
Energy relative to the elements (meV/atom): 425

=====

# 9
## Sr2CaRu (PBEsol)

Data for crystalline Sr2CaRu at its relaxed geometry.

a b c (Å): 3.513 4.944 15.810
angles (deg): 90.00 90.00 90.00
Space group Immm (No. 71)
One atom of each set of equivalent atoms:
Sr 0.000 0.000 0.153 [4 per cell]
Ca 0.000 0.500 0.000 [2 per cell]
Ru 0.000 0.500 0.500 [2 per cell]

Summary:
Electronic total energy (eV/atom): -3.64
DOS(E_F) (states/eV/atom): 0.895
Polymorph energy (0 for the lowest one) (meV/atom): 5
Energy relative to the elements (meV/atom): 358

=====

# 10
## Sr2CaRu (PBEsol)

Data for crystalline Sr2CaRu at its relaxed geometry.

a b c (Å): 4.864 4.864 4.797
angles (deg): 90.00 90.00 90.00
Space group P4/mmm (No. 123)
One atom of each set of equivalent atoms:
Sr 0.000 0.500 0.000 [2 per cell]
Ca 0.000 0.000 0.500 [1 per cell]
Ru 0.500 0.500 0.500 [1 per cell]

Summary:
Electronic total energy (eV/atom): -3.44
DOS(E_F) (states/eV/atom): 0.412
Polymorph energy (0 for the lowest one) (meV/atom): 205
Energy relative to the elements (meV/atom): 558

=====

# 11
## Sr2CaRu (PBEsol)

Data for crystalline Sr2CaRu at its relaxed geometry.

a b c (Å): 3.623 5.656 12.784
angles (deg): 90.00 90.00 90.00
Space group Imm2 (No. 44)
One atom of each set of equivalent atoms:
Sr 0.000 0.000 0.000 [2 per cell]
Sr 0.000 0.500 0.178 [2 per cell]
Ca 0.000 0.500 0.831 [2 per cell]
Ru 0.000 0.000 0.497 [2 per cell]

Summary:
Electronic total energy (eV/atom): -3.64
DOS(E_F) (states/eV/atom): 0.834
Polymorph energy (0 for the lowest one) (meV/atom): 0
Energy relative to the elements (meV/atom): 353

=====

# 12
## SrCa2Ru (PBEsol)

Data for crystalline SrCa2Ru at its relaxed geometry.

a b c (Å): 3.540 3.540 9.561
angles (deg): 90.00 90.00 90.00
Space group P4/mmm (No. 123)
One atom of each set of equivalent atoms:
Sr 0.000 0.000 0.000 [1 per cell]
Ca 0.500 0.500 0.336 [2 per cell]
Ru 0.000 0.000 0.500 [1 per cell]

Summary:
Electronic total energy (eV/atom): -3.79
DOS(E_F) (states/eV/atom): 1.233
Polymorph energy (0 for the lowest one) (meV/atom): 0
Energy relative to the elements (meV/atom): 281

=====

# 13
## SrCaRu3 (PBEsol)

Data for crystalline SrCaRu3 at its relaxed geometry.

a b c (Å): 4.750 4.750 4.750
angles (deg): 90.00 90.00 90.00
Space group Pm-3m (No. 221)
One atom of each set of equivalent atoms:
Sr 0.000 0.000 0.000 [1 per cell]
Ca 0.500 0.500 0.500 [1 per cell]
Ru 0.000 0.500 0.500 [3 per cell]

Summary:
Electronic total energy (eV/atom): -5.05
DOS(E_F) (states/eV/atom): 1.896
Energy relative to the elements (meV/atom): 1849

=====

# 14
## Sr2CaRu (PBEsol)

Data for crystalline Sr2CaRu at its relaxed geometry.

a b c (Å): 3.7549 3.7549 33.0620
angles (deg): 90.00 90.00 120.00
Space group R-3m (No. 166, hexagonal axes)
One atom of each set of equivalent atoms:
Sr 0.0000 0.0000 0.2267 [6 per cell]
Ca 0.0000 0.0000 0.0000 [3 per cell]
Ru 0.0000 0.0000 0.5000 [3 per cell]

Summary:
Electronic total energy (eV/atom): -3.48
DOS(E_F) (states/eV/atom): 0.901
Polymorph energy (0 for the lowest one) (meV/atom): 161
Energy relative to the elements (meV/atom): 514

=====

# 15
## SrCa2Ru (PBEsol)

Data for crystalline SrCa2Ru at its relaxed geometry.

a b c (Å): 3.6587 3.6587 32.3323
angles (deg): 90.00 90.00 120.00
Space group R-3m (No. 166, hexagonal axes)
One atom of each set of equivalent atoms:
Sr 0.0000 0.0000 0.0000 [3 per cell]
Ca 0.0000 0.0000 0.2243 [6 per cell]
Ru 0.0000 0.0000 0.5000 [3 per cell]

Summary:
Electronic total energy (eV/atom): -3.65
DOS(E_F) (states/eV/atom): 0.999
Polymorph energy (0 for the lowest one) (meV/atom): 140
Energy relative to the elements (meV/atom): 422